(1)
Here is AgSb2 after structural relaxation from Alexandria. Energies are from PBE. Values from VASP.

SG ... I4_1/amd (141)
N(E_F) ... 0.533 states/eV/atom
E_form (uncorrected) ... 47 kJ/mol of formula units

```
&SYSTEM
  ibrav = 0, nat = 6, ntyp = 2
/
ATOMIC_SPECIES
Ag 107.87 Ag.upf
Sb 121.76 Sb.upf
CELL_PARAMETERS angstrom
-13.4666 -2.9752 7.3521
-14.7993 0.5417 4.9941
13.5240 -0.1262 -7.8320
ATOMIC_POSITIONS crystal
Ag 0.0000 0.0000 0.0000
Ag 0.7500 0.2500 0.5000
Sb 0.5733 0.5733 0.0000
Sb 0.1767 0.6767 0.5000
Sb 0.4267 0.4267 0.0000
Sb 0.3233 0.8233 0.5000
```



(2)
Here is KTbP2O6 after structural relaxation from Alexandria. Energies are from PBE. Values from VASP.

SG ... C2/c (15)
N(E_F) ... 0.000 states/eV/atom
E_form (uncorrected) ... -2482 kJ/mol of formula units

```
&SYSTEM
  ibrav = 0, nat = 20, ntyp = 4
/
ATOMIC_SPECIES
K 39.10 K.upf
Tb 158.93 Tb.upf
P 30.97 P.upf
O 16.00 O.upf
CELL_PARAMETERS angstrom
6.6350 -1.0272 -1.0549
-1.8318 6.4594 -1.0549
-2.6583 -3.0064 9.9455
ATOMIC_POSITIONS crystal
K 0.1561 0.8439 0.2500
K 0.8439 0.1561 0.7500
Tb 0.5907 0.4093 0.2500
Tb 0.4093 0.5907 0.7500
P 0.3050 0.0650 0.8116
P 0.9350 0.6950 0.6884
P 0.6950 0.9350 0.1884
P 0.0650 0.3050 0.3116
O 0.9719 0.4712 0.2856
O 0.5288 0.0281 0.2144
O 0.0281 0.5288 0.7144
O 0.4712 0.9719 0.7856
O 0.2142 0.2763 0.2336
O 0.7237 0.7858 0.2664
O 0.7858 0.7237 0.7664
O 0.2763 0.2142 0.7336
O 0.2165 0.3939 0.4859
O 0.6061 0.7835 0.0141
O 0.7835 0.6061 0.5141
O 0.3939 0.2165 0.9859
```



(3)
Here is NdTaN after structural relaxation from Alexandria. Energies are from PBE. Values from VASP.

SG ... F-43m (216)
Offset from the most stable computed form ... 0 meV per atom
N(E_F) ... 0.769 states/eV/atom
E_form (uncorrected) ... -155 kJ/mol of formula units

```
&SYSTEM
  ibrav = 0, nat = 12, ntyp = 3
/
ATOMIC_SPECIES
N 14.01 N.upf
Ta 180.95 Ta.upf
Nd 144.24 Nd.upf
CELL_PARAMETERS angstrom
6.7704 0.0000 0.0000
3.3852 5.8633 0.0000
3.3852 1.9544 5.5280
ATOMIC_POSITIONS crystal
N 0.4260 0.8580 0.8580
N 0.8580 0.8580 0.8580
N 0.8580 0.4260 0.8580
N 0.8580 0.8580 0.4260
Ta 0.6354 0.0937 0.6354
Ta 0.0937 0.6354 0.6354
Ta 0.6354 0.6354 0.0937
Ta 0.6354 0.6354 0.6354
Nd 0.6334 0.1222 0.1222
Nd 0.1222 0.6334 0.1222
Nd 0.1222 0.1222 0.1222
Nd 0.1222 0.1222 0.6334
```



(4)
Here is PmHoTlGa after structural relaxation from Alexandria. Energies are from PBE. Values from VASP.

SG ... F-43m (216)
Offset from the most stable computed form ... 31 meV per atom
N(E_F) ... 0.483 states/eV/atom
Formation energy from the elements ... -0.432 eV/atom

```
&SYSTEM
  ibrav = 0, nat = 4, ntyp = 4
/
ATOMIC_SPECIES
Tl 204.38 Tl.upf
Ho 164.93 Ho.upf
Ga 69.72 Ga.upf
Pm 145.00 Pm.upf
CELL_PARAMETERS angstrom
5.2779 0.0000 0.0000
2.6390 4.5708 0.0000
2.6390 1.5236 4.3094
ATOMIC_POSITIONS crystal
Tl 0.7500 0.7500 0.7500
Ho 0.0000 0.0000 0.0000
Ga 0.2500 0.2500 0.2500
Pm 0.5000 0.5000 0.5000
```



(5)
Here is Rb2CdGa3Sn4 after structural relaxation from Alexandria. Energies are from PBE. Values from VASP.

SG ... P-4m2 (115)
N(E_F) ... 0.470 states/eV/atom
Formation energy from the elements ... -0.142 eV/atom

```
&SYSTEM
  ibrav = 0, nat = 10, ntyp = 4
/
ATOMIC_SPECIES
Rb 85.47 Rb.upf
Cd 112.41 Cd.upf
Ga 69.72 Ga.upf
Sn 118.71 Sn.upf
CELL_PARAMETERS angstrom
5.0220 0.0000 0.0000
0.0000 5.0220 0.0000
0.0000 0.0000 11.5815
ATOMIC_POSITIONS crystal
Rb 0.5000 0.0000 0.2524
Rb 0.0000 0.5000 0.7476
Cd 0.5000 0.5000 0.5000
Ga 0.0000 0.0000 0.5000
Ga 0.5000 0.0000 0.8723
Ga 0.0000 0.5000 0.1277
Sn 0.5000 0.5000 0.0000
Sn 0.0000 0.0000 0.0000
Sn 0.5000 0.0000 0.6327
Sn 0.0000 0.5000 0.3673
```



(6)
Here is Mn2CoRe after structural relaxation from Alexandria. Energies are from PBE. Values from VASP.

SG ... F-43m (216)
N(E_F) ... 1.134 states/eV/atom
Formation energy from the elements ... 0.118 eV/atom

```
&SYSTEM
  ibrav = 0, nat = 4, ntyp = 3
/
ATOMIC_SPECIES
Co 58.93 Co.upf
Mn 54.94 Mn.upf
Re 186.21 Re.upf
CELL_PARAMETERS angstrom
-2.9366 0.6770 -2.8218
-3.3466 -2.4147 -0.1167
-3.6685 1.4991 1.1572
ATOMIC_POSITIONS crystal
Co 0.5000 0.5000 0.5000
Mn 0.0000 0.0000 0.0000
Mn 0.2500 0.2500 0.2500
Re 0.7500 0.7500 0.7500
```



(7)
Here is AgGeS2O8 after structural relaxation from Alexandria. Energies are from PBE. Values from VASP.

SG ... R-3 (148)
N(E_F) ... 0.183 states/eV/atom
E_form (uncorrected) ... -1219 kJ/mol of formula units

```
&SYSTEM
  ibrav = 0, nat = 12, ntyp = 4
/
ATOMIC_SPECIES
Ag 107.87 Ag.upf
Ge 72.64 Ge.upf
S 32.06 S.upf
O 16.00 O.upf
CELL_PARAMETERS angstrom
4.8323 0.0000 0.0000
2.4162 4.1849 0.0000
2.4162 1.3950 7.7810
ATOMIC_POSITIONS crystal
Ag 0.5000 0.5000 0.5000
Ge 0.0000 0.0000 0.0000
S 0.2564 0.2564 0.2307
S 0.7436 0.7436 0.7693
O 0.1936 0.1936 0.4193
O 0.5778 0.2655 0.1652
O 0.8064 0.8064 0.5807
O 0.9915 0.5778 0.1652
O 0.0085 0.4222 0.8348
O 0.2655 0.9915 0.1652
O 0.7345 0.0085 0.8348
O 0.4222 0.7345 0.8348
```



(8)
Here is DyTmAgAu after structural relaxation from Alexandria. Energies are from PBE. Values from VASP.

SG ... F-43m (216)
Offset from the most stable computed form ... 6 meV per atom
N(E_F) ... 0.699 states/eV/atom
Formation energy from the elements ... -0.602 eV/atom

```
&SYSTEM
  ibrav = 0, nat = 4, ntyp = 4
/
ATOMIC_SPECIES
Tm 168.93 Tm.upf
Au 196.97 Au.upf
Ag 107.87 Ag.upf
Dy 162.50 Dy.upf
CELL_PARAMETERS angstrom
-3.1664 3.5519 1.7721
-4.2388 1.1270 -2.5583
-4.5264 -1.3392 1.8709
ATOMIC_POSITIONS crystal
Tm 0.5000 0.5000 0.5000
Au 0.7500 0.7500 0.7500
Ag 0.2500 0.2500 0.2500
Dy 0.0000 0.0000 0.0000
```



(9)
Here is CaFeSb2I after structural relaxation from Alexandria. Energies are from PBE. Values from VASP.

SG ... P4/mmm (123)
Offset from the most stable computed form ... 0 meV per atom
N(E_F) ... 0.814 states/eV/atom
E_form (uncorrected) ... -36 kJ/mol of formula units

```
&SYSTEM
  ibrav = 0, nat = 5, ntyp = 4
/
ATOMIC_SPECIES
I 126.90 I.upf
Sb 121.76 Sb.upf
Ca 40.08 Ca.upf
Fe 55.84 Fe.upf
CELL_PARAMETERS angstrom
4.9319 0.0000 0.0000
0.0000 4.9319 0.0000
0.0000 0.0000 6.2508
ATOMIC_POSITIONS crystal
I 0.0000 0.0000 0.5000
Sb 0.0000 0.5000 0.0000
Sb 0.5000 0.0000 0.0000
Ca 0.5000 0.5000 0.5000
Fe 0.0000 0.0000 0.0000
```



(10)
Here is Tb3PmDy after structural relaxation from Alexandria. Energies are from PBE. Values from VASP.

SG ... P2_1/m (11)
Offset from the most stable computed form ... 307 meV per atom
N(E_F) ... 1.733 states/eV/atom
Formation energy from the elements ... 0.324 eV/atom

```
&SYSTEM
  ibrav = 0, nat = 10, ntyp = 3
/
ATOMIC_SPECIES
Tb 158.93 Tb.upf
Pm 145.00 Pm.upf
Dy 162.50 Dy.upf
CELL_PARAMETERS angstrom
3.6239 -0.0023 0.0000
-1.8028 8.3606 0.0000
0.0000 0.0000 11.6593
ATOMIC_POSITIONS crystal
Tb 0.8468 0.1939 0.9989
Tb 0.1532 0.8061 0.0011
Tb 0.8468 0.1939 0.5011
Tb 0.1532 0.8061 0.4989
Tb 0.6449 0.7903 0.2500
Tb 0.3551 0.2097 0.7500
Pm 0.3081 0.1169 0.2500
Pm 0.6919 0.8831 0.7500
Dy 0.9801 0.4616 0.2500
Dy 0.0199 0.5384 0.7500
```



(11)
Here is Pm6NdSmEr2 after structural relaxation from Alexandria. Energies are from PBE. Values from VASP.

SG ... C2/c (15)
N(E_F) ... 1.476 states/eV/atom
Formation energy from the elements ... 0.116 eV/atom

```
&SYSTEM
  ibrav = 0, nat = 20, ntyp = 4
/
ATOMIC_SPECIES
Pm 145.00 Pm.upf
Nd 144.24 Nd.upf
Sm 150.36 Sm.upf
Er 167.26 Er.upf
CELL_PARAMETERS angstrom
9.2639 -2.0075 -2.0834
0.7932 8.6537 -1.9844
0.7932 -2.3038 8.5742
ATOMIC_POSITIONS crystal
Pm 0.0557 0.1115 0.7574
Pm 0.4443 0.2426 0.8885
Pm 0.9443 0.8885 0.2426
Pm 0.5557 0.7574 0.1115
Pm 0.3176 0.9841 0.4360
Pm 0.1824 0.5640 0.0159
Pm 0.6824 0.0159 0.5640
Pm 0.8176 0.4360 0.9841
Pm 0.1195 0.7050 0.4877
Pm 0.3805 0.5123 0.2950
Pm 0.8805 0.2950 0.5123
Pm 0.6195 0.4877 0.7050
Nd 0.2500 0.4072 0.5928
Nd 0.7500 0.5928 0.4072
Sm 0.2500 0.9698 0.0302
Sm 0.7500 0.0302 0.9698
Er 0.4526 0.8021 0.7049
Er 0.0474 0.2951 0.1979
Er 0.5474 0.1979 0.2951
Er 0.9526 0.7049 0.8021
```



(12)
Here is AlN after structural relaxation from Alexandria. Energies are from PBE. Values from VASP.

SG ... P4_2/mnm (136)
N(E_F) ... 0.000 states/eV/atom
E_form (uncorrected) ... -266 kJ/mol of formula units

```
&SYSTEM
  ibrav = 0, nat = 8, ntyp = 2
/
ATOMIC_SPECIES
Al 26.98 Al.upf
N 14.01 N.upf
CELL_PARAMETERS angstrom
-4.5503 2.7104 0.5583
-2.7596 -4.3642 -1.3042
-0.1208 -0.8224 3.0076
ATOMIC_POSITIONS crystal
Al 0.3231 0.3231 0.0000
Al 0.8231 0.1769 0.5000
Al 0.1769 0.8231 0.5000
Al 0.6769 0.6769 0.0000
N 0.3153 0.6847 0.0000
N 0.8153 0.8153 0.5000
N 0.1847 0.1847 0.5000
N 0.6847 0.3153 0.0000
```



(13)
Here is ScTc3I after structural relaxation from Alexandria. Energies are from PBE. Values from VASP.

SG ... Pm-3m (221)
Offset from the most stable computed form ... 0 meV per atom
N(E_F) ... 1.642 states/eV/atom
E_form (uncorrected) ... 728 kJ/mol of formula units

```
&SYSTEM
  ibrav = 0, nat = 5, ntyp = 3
/
ATOMIC_SPECIES
I 126.90 I.upf
Sc 44.96 Sc.upf
Tc 98.00 Tc.upf
CELL_PARAMETERS angstrom
4.7845 0.0000 0.0000
0.0000 4.7845 0.0000
0.0000 0.0000 4.7845
ATOMIC_POSITIONS crystal
I 0.0000 0.0000 0.0000
Sc 0.5000 0.5000 0.5000
Tc 0.0000 0.5000 0.0000
Tc 0.0000 0.0000 0.5000
Tc 0.5000 0.0000 0.0000
```



(14)
Here is Ba2RuI after structural relaxation from Alexandria. Energies are from PBE. Values from VASP.

SG ... I-42d (122)
Offset from the most stable computed form ... 0 meV per atom
N(E_F) ... 0.246 states/eV/atom
E_form (uncorrected) ... -37 kJ/mol of formula units

```
&SYSTEM
  ibrav = 0, nat = 8, ntyp = 3
/
ATOMIC_SPECIES
I 126.90 I.upf
Ru 101.07 Ru.upf
Ba 137.33 Ba.upf
CELL_PARAMETERS angstrom
8.0905 0.0000 0.0000
0.0000 8.0905 0.0000
4.0453 4.0453 5.2095
ATOMIC_POSITIONS crystal
I 0.0000 0.0000 0.0000
I 0.7500 0.2500 0.5000
Ru 0.5000 0.5000 0.0000
Ru 0.2500 0.7500 0.5000
Ba 0.5321 0.1250 0.2500
Ba 0.2179 0.6250 0.2500
Ba 0.3750 0.4679 0.7500
Ba 0.8750 0.7821 0.7500
```



(15)
Here is Sr3Li2Mg4 after structural relaxation from Alexandria. Energies are from PBE. Values from VASP.

SG ... C2/m (12)
N(E_F) ... 0.806 states/eV/atom
Formation energy from the elements ... -0.006 eV/atom

```
&SYSTEM
  ibrav = 0, nat = 9, ntyp = 3
/
ATOMIC_SPECIES
Sr 87.62 Sr.upf
Li 6.94 Li.upf
Mg 24.30 Mg.upf
CELL_PARAMETERS angstrom
5.1049 0.0000 0.0000
-2.5524 6.1779 -0.2710
0.0000 -2.0619 9.7308
ATOMIC_POSITIONS crystal
Sr 0.3833 0.7666 0.6237
Sr 0.0000 0.0000 0.0000
Sr 0.6167 0.2334 0.3763
Li 0.2960 0.5920 0.2337
Li 0.7040 0.4080 0.7663
Mg 0.7249 0.4498 0.0731
Mg 0.0928 0.1856 0.6409
Mg 0.9072 0.8144 0.3591
Mg 0.2751 0.5502 0.9269
```



(16)
Here is LaTbPuTl after structural relaxation from Alexandria. Energies are from PBE. Values from VASP.

SG ... F-43m (216)
N(E_F) ... 4.364 states/eV/atom
Formation energy from the elements ... 0.010 eV/atom

```
&SYSTEM
  ibrav = 0, nat = 4, ntyp = 4
/
ATOMIC_SPECIES
Tl 204.38 Tl.upf
La 138.91 La.upf
Tb 158.93 Tb.upf
Pu 244.00 Pu.upf
CELL_PARAMETERS angstrom
-4.6306 0.4443 -2.9790
-1.4679 -4.0605 -3.4456
-4.3587 -3.1822 1.1790
ATOMIC_POSITIONS crystal
Tl 0.0000 0.0000 0.0000
La 0.2500 0.2500 0.2500
Tb 0.7500 0.7500 0.7500
Pu 0.5000 0.5000 0.5000
```